No. 1
4
Lattice="4.065 0.000 0.000 0.000 4.065 0.000 0.000 0.000 4.753" Properties=species:S:1:pos:R:3 comment="Cd2SbRu | Alexandria via LeMat-Bulk | GGA-PBE | optimized geometry" magmom_total_mub_per_atom=0.0000 raw_formation_energy_ev_per_atom=0.303 sg="No. 123" pbc="T T T"
Cd 0.000 2.033 0.000
Cd 2.033 0.000 0.000
Sb 0.000 0.000 2.376
Ru 2.033 2.033 2.376

***

No. 2
8
Lattice="-3.114 3.114 6.299 3.114 -3.114 6.299 3.114 3.114 -6.299" Properties=species:S:1:pos:R:3 comment="CdSb2Ru | Alexandria via LeMat-Bulk | GGA-PBE | optimized geometry" magmom_total_mub_per_atom=0.0000 raw_formation_energy_ev_per_atom=0.280 sg="No. 122" pbc="T T T"
Cd 0.000 0.000 0.000
Cd 0.000 3.114 3.149
Sb 1.557 -1.229 4.724
Sb 1.885 1.557 1.575
Sb 1.557 4.342 -1.575
Sb 1.229 1.557 7.874
Ru 3.114 0.000 3.149
Ru 0.000 0.000 6.299

***

No. 3
4
Lattice="-2.154 2.154 4.228 2.154 -2.154 4.228 2.154 2.154 -4.228" Properties=species:S:1:pos:R:3 comment="Cd2SbRu | Alexandria via LeMat-Bulk | GGA-PBE | optimized geometry" magmom_total_mub_per_atom=0.0001 raw_formation_energy_ev_per_atom=0.263 sg="No. 119" pbc="T T T"
Cd 0.000 0.000 0.000
Cd 0.000 2.154 2.114
Sb 0.000 0.000 4.228
Ru 2.154 0.000 2.114

***

No. 4
4
Lattice="-1.556 2.323 6.389 1.556 -2.323 6.389 1.556 2.323 -6.389" Properties=species:S:1:pos:R:3 comment="Cd2SbRu | Alexandria via LeMat-Bulk | GGA-PBE | optimized geometry" magmom_total_mub_per_atom=0.0000 raw_formation_energy_ev_per_atom=0.117 sg="No. 44" pbc="T T T"
Cd 0.000 0.000 0.000
Cd 0.000 2.323 2.105
Sb 0.000 0.000 4.480
Ru 1.556 0.000 2.383

***

No. 5
4
Lattice="-1.592 2.144 6.706 1.592 -2.144 6.706 1.592 2.144 -6.706" Properties=species:S:1:pos:R:3 comment="CdSb2Ru | Alexandria via LeMat-Bulk | GGA-PBE | optimized geometry" magmom_total_mub_per_atom=0.0000 raw_formation_energy_ev_per_atom=0.105 sg="No. 44" pbc="T T T"
Cd 0.000 0.000 0.000
Sb 0.000 0.000 4.972
Sb 0.000 2.144 2.207
Ru 1.592 0.000 2.796

***

No. 6
5
Lattice="-2.136 2.136 5.736 2.136 -2.136 5.736 2.136 2.136 -5.736" Properties=species:S:1:pos:R:3 comment="CdSb2Ru2 | Alexandria via LeMat-Bulk | GGA-PBE | optimized geometry" magmom_total_mub_per_atom=0.0000 e_above_lowest_polymorph_ev_per_atom=0.1854 raw_formation_energy_ev_per_atom=0.247 sg="No. 139" pbc="T T T"
Cd 0.000 0.000 0.000
Sb 2.136 0.000 2.868
Sb 0.000 2.136 2.868
Ru 0.000 0.000 4.444
Ru 0.000 0.000 7.027

***

No. 7
4
Lattice="2.755 -5.344 0.000 2.755 5.344 0.000 -1.732 0.000 2.767" Properties=species:S:1:pos:R:3 comment="Cd2SbRu | Alexandria via LeMat-Bulk | GGA-PBE | optimized geometry" magmom_total_mub_per_atom=0.0000 raw_formation_energy_ev_per_atom=0.314 sg="No. 12" pbc="T T T"
Cd 1.377 2.672 0.000
Cd 1.377 -2.672 0.000
Sb 0.000 0.000 0.000
Ru 2.755 0.000 0.000

***

No. 8
4
Lattice="4.706 -1.673 0.000 4.706 1.673 0.000 -1.114 0.000 5.141" Properties=species:S:1:pos:R:3 comment="Cd2SbRu | Alexandria via LeMat-Bulk | GGA-PBE | optimized geometry" magmom_total_mub_per_atom=0.0000 raw_formation_energy_ev_per_atom=0.199 sg="No. 8" pbc="T T T"
Cd 0.000 0.000 0.000
Cd 1.406 0.000 3.995
Sb 6.929 0.000 1.706
Ru 4.145 0.000 2.542

***

No. 9
4
Lattice="0.000 3.490 3.490 3.490 0.000 3.490 3.490 3.490 0.000" Properties=species:S:1:pos:R:3 comment="CdSb2Ru | Alexandria via LeMat-Bulk | GGA-PBE | optimized geometry" magmom_total_mub_per_atom=0.0000 raw_formation_energy_ev_per_atom=0.527 sg="No. 216" pbc="T T T"
Cd 0.000 0.000 0.000
Sb 1.745 1.745 1.745
Sb 3.490 3.490 3.490
Ru 5.235 5.235 5.235

***

No. 10
5
Lattice="5.389 0.000 0.000 0.000 5.389 0.000 0.000 0.000 4.990" Properties=species:S:1:pos:R:3 comment="CdSbTe2Ru | Alexandria via LeMat-Bulk | GGA-PBE | optimized geometry" magmom_total_mub_per_atom=0.0000 e_above_lowest_polymorph_ev_per_atom=0.0000 raw_formation_energy_ev_per_atom=0.392 sg="No. 123" pbc="T T T"
Cd 0.000 0.000 0.000
Sb 2.695 2.695 0.000
Te 0.000 2.695 2.495
Te 2.695 0.000 2.495
Ru 2.695 2.695 2.495

***

No. 11
5
Lattice="4.994 0.000 0.000 0.000 4.994 0.000 0.000 0.000 5.831" Properties=species:S:1:pos:R:3 comment="CdSb2TeRu | Alexandria via LeMat-Bulk | GGA-PBE | optimized geometry" magmom_total_mub_per_atom=0.0000 e_above_lowest_polymorph_ev_per_atom=0.0000 raw_formation_energy_ev_per_atom=0.349 sg="No. 123" pbc="T T T"
Cd 0.000 0.000 0.000
Sb 0.000 2.497 2.915
Sb 2.497 0.000 2.915
Te 2.497 2.497 0.000
Ru 2.497 2.497 2.915

***

No. 12
5
Lattice="5.466 0.000 0.000 0.000 5.466 0.000 0.000 0.000 5.308" Properties=species:S:1:pos:R:3 comment="CdSbTe2Ru | Alexandria via LeMat-Bulk | GGA-PBE | optimized geometry" magmom_total_mub_per_atom=0.0000 e_above_lowest_polymorph_ev_per_atom=1.0805 raw_formation_energy_ev_per_atom=1.473 sg="No. 123" pbc="T T T"
Cd 0.000 0.000 0.000
Sb 0.000 0.000 2.654
Te 0.000 2.733 0.000
Te 2.733 0.000 0.000
Ru 2.733 2.733 2.654